No. 1
{
  "formula": "InGaFe3",
  "functional": "PBE",
  "state": "relaxed",
  "cell": [[-0.989, 3.596, 3.064], [-4.698, -0.420, -1.024], [-0.497, -3.192, 3.586]],
  "species": ["Fe", "Fe", "Fe", "Ga", "In"],
  "fractional_positions": [[0.000, 0.500, 0.000], [0.000, 0.000, 0.500], [0.500, 0.000, 0.000], [0.500, 0.500, 0.500], [0.000, 0.000, 0.000]],
  "sg": "Pm-3m, No. 221",
  "de_polymorph_mev_per_atom": 663.3
}

No. 2
{
  "formula": "In3GaFe",
  "functional": "PBE",
  "state": "relaxed",
  "cell": [[-2.175, 2.693, -3.971], [0.327, -4.266, -3.073], [-4.787, -1.515, 1.594]],
  "species": ["Fe", "Ga", "In", "In", "In"],
  "fractional_positions": [[0.500, 0.500, 0.500], [0.000, 0.000, 0.000], [0.000, 0.500, 0.000], [0.000, 0.000, 0.500], [0.500, 0.000, 0.000]],
  "sg": "Pm-3m, No. 221",
  "de_polymorph_mev_per_atom": 634.0
}

No. 3
{
  "formula": "InGaFe3",
  "functional": "PBE",
  "state": "relaxed",
  "cell": [[-3.309, 0.738, -2.866], [1.458, -3.335, -2.542], [-2.576, -2.836, 2.243]],
  "species": ["Fe", "Fe", "Fe", "Ga", "In"],
  "fractional_positions": [[0.000, 0.500, 0.000], [0.000, 0.000, 0.500], [0.500, 0.000, 0.000], [0.000, 0.000, 0.000], [0.500, 0.500, 0.500]],
  "sg": "Pm-3m, No. 221",
  "de_polymorph_mev_per_atom": 0.0
}

No. 4
{
  "formula": "InGa3Fe",
  "functional": "PBE",
  "state": "relaxed",
  "cell": [[4.661, 0.000, 0.000], [0.000, 4.661, 0.000], [0.000, 0.000, 4.661]],
  "species": ["Fe", "Ga", "Ga", "Ga", "In"],
  "fractional_positions": [[0.000, 0.000, 0.000], [0.000, 0.500, 0.000], [0.000, 0.000, 0.500], [0.500, 0.000, 0.000], [0.500, 0.500, 0.500]],
  "sg": "Pm-3m, No. 221",
  "de_polymorph_mev_per_atom": 0.0
}

No. 5
{
  "formula": "In2GaFe",
  "functional": "PBE",
  "state": "relaxed",
  "cell": [[3.011, 0.000, 0.000], [1.505, 2.607, 0.000], [1.505, 0.869, 11.114]],
  "species": ["Fe", "Ga", "In", "In"],
  "fractional_positions": [[0.000, 0.000, 0.000], [0.500, 0.500, 0.500], [0.081, 0.081, 0.757], [0.919, 0.919, 0.243]],
  "sg": "R-3m, No. 166"
}

No. 6
{
  "formula": "KInGa2Fe",
  "functional": "PBE",
  "state": "relaxed",
  "cell": [[4.736, 0.000, 0.000], [0.000, 4.736, 0.000], [0.000, 0.000, 5.002]],
  "species": ["K", "Fe", "Ga", "Ga", "In"],
  "fractional_positions": [[0.500, 0.500, 0.500], [0.000, 0.000, 0.000], [0.000, 0.500, 0.000], [0.500, 0.000, 0.000], [0.000, 0.000, 0.500]],
  "sg": "P4/mmm, No. 123"
}

No. 7
{
  "formula": "KIn2GaFe",
  "functional": "PBE",
  "state": "relaxed",
  "cell": [[-1.162, -1.772, -4.585], [-1.751, -4.253, 2.087], [-4.331, 1.952, 0.343]],
  "species": ["K", "Fe", "Ga", "In", "In"],
  "fractional_positions": [[0.500, 0.500, 0.500], [0.000, 0.000, 0.000], [0.000, 0.000, 0.500], [0.000, 0.500, 0.000], [0.500, 0.000, 0.000]],
  "sg": "P4/mmm, No. 123"
}

No. 8
{
  "formula": "La2InGaFe",
  "functional": "PBE",
  "state": "relaxed",
  "cell": [[-1.786, -1.674, -4.590], [-3.795, -2.603, 2.426], [-2.824, 3.837, -0.300]],
  "species": ["In", "Fe", "Ga", "La", "La"],
  "fractional_positions": [[0.500, 0.500, 0.500], [0.000, 0.000, 0.000], [0.000, 0.000, 0.500], [0.000, 0.500, 0.000], [0.500, 0.000, 0.000]],
  "sg": "P4/mmm, No. 123"
}

No. 9
{
  "formula": "LaInGa2Fe",
  "functional": "PBE",
  "state": "relaxed",
  "cell": [[4.658, 0.000, 0.000], [0.000, 4.658, 0.000], [0.000, 0.000, 4.903]],
  "species": ["In", "Fe", "Ga", "Ga", "La"],
  "fractional_positions": [[0.000, 0.000, 0.500], [0.000, 0.000, 0.000], [0.000, 0.500, 0.000], [0.500, 0.000, 0.000], [0.500, 0.500, 0.500]],
  "sg": "P4/mmm, No. 123"
}

No. 10
{
  "formula": "LiInGaFe",
  "functional": "PBE",
  "state": "relaxed",
  "cell": [[4.417, 0.000, 0.000], [2.208, 3.825, 0.000], [2.208, 1.275, 3.606]],
  "species": ["Li", "Fe", "Ga", "In"],
  "fractional_positions": [[0.000, 0.000, 0.000], [0.500, 0.500, 0.500], [0.750, 0.750, 0.750], [0.250, 0.250, 0.250]],
  "sg": "F-43m, No. 216"
}

No. 11
{
  "formula": "Na2InGaFe",
  "functional": "PBE",
  "state": "relaxed",
  "cell": [[5.464, 0.000, 0.000], [0.000, 5.132, 0.000], [0.000, 0.000, 5.464]],
  "species": ["Na", "Na", "Fe", "Ga", "In"],
  "fractional_positions": [[0.000, 0.000, 0.500], [0.500, 0.000, 0.000], [0.500, 0.500, 0.500], [0.000, 0.000, 0.000], [0.000, 0.500, 0.000]],
  "sg": "P4/mmm, No. 123"
}

No. 12
{
  "formula": "Nb2InGaFe",
  "functional": "PBE",
  "state": "relaxed",
  "cell": [[5.100, 0.000, 0.000], [0.000, 4.607, 0.000], [0.000, 0.000, 5.100]],
  "species": ["Nb", "Nb", "Fe", "Ga", "In"],
  "fractional_positions": [[0.000, 0.000, 0.500], [0.500, 0.000, 0.000], [0.500, 0.500, 0.500], [0.000, 0.500, 0.000], [0.000, 0.000, 0.000]],
  "sg": "P4/mmm, No. 123"
}

Number 1: magnetic moment 8.80 μB per cell, E_form 1.4703 eV/atom. Number 2: magnetic moment 3.30 μB per cell, E_form 0.8704 eV/atom. Number 3: magnetic moment 7.24 μB per cell, E_form 0.8070 eV/atom. Number 4: magnetic moment 0.00 μB per cell, E_form 0.0166 eV/atom. Number 5: magnetic moment 2.58 μB per cell, E_form 0.5001 eV/atom. Number 6: magnetic moment 0.00 μB per cell, E_form -0.0958 eV/atom. Number 7: magnetic moment 0.00 μB per cell, E_form -0.0438 eV/atom. Number 8: magnetic moment 0.57 μB per cell, E_form -0.2776 eV/atom. Number 9: magnetic moment 0.00 μB per cell, E_form -0.3148 eV/atom. Number 10: magnetic moment 1.91 μB per cell, E_form -0.0158 eV/atom. Number 11: magnetic moment 3.53 μB per cell, E_form 0.8426 eV/atom. Number 12: magnetic moment 0.08 μB per cell, E_form 2.1527 eV/atom.